Compound: K2GaAgI4
Source: Alexandria via LeMat-Bulk
Functional: GGA-PBE
Structure: relaxed

As for the formation energy without anion corrections: -0.833 eV per atom. Its density of states at the Fermi level is 0.00 states/eV/atom.

It has space group C2/c (No. 15), with a = 13.556 Å, b = 13.516 Å, c = 9.588 Å, α = 90.00°, β = 134.83° and γ = 90.00°. The inequivalent atoms are K at (0.000, 0.000, 0.000), K at (0.250, 0.250, 0.000), Ga at (0.000, 0.500, 0.000), Ag at (0.250, 0.250, 0.500), I at (0.003, 0.256, 0.476) and I at (0.238, 0.480, 0.488).

---

Compound: LiGaAgI5
Source: Alexandria via LeMat-Bulk
Functional: GGA-PBE
Structure: relaxed

As for the formation energy without anion corrections: -0.564 eV per atom. Its density of states at the Fermi level is 0.00 states/eV/atom.

It has space group C2/c (No. 15), with a = 12.016 Å, b = 11.383 Å, c = 10.825 Å, α = 90.00°, β = 116.81° and γ = 90.00°. The inequivalent atoms are Li at (0.000, 0.000, 0.000), Ga at (0.000, 0.337, 0.250), Ag at (0.000, 0.341, 0.750), I at (0.000, 0.103, 0.750), I at (0.124, 0.213, 0.155) and I at (0.157, 0.481, 0.436).

---

Compound: LiGaAgI2
Source: Alexandria via LeMat-Bulk
Functional: GGA-PBE
Structure: relaxed

As for the formation energy without anion corrections: -0.097 eV per atom. Its density of states at the Fermi level is 0.68 states/eV/atom.

It has space group P4/mmm (No. 123), with a = 5.575 Å, b = 5.575 Å, c = 4.927 Å, α = 90.00°, β = 90.00° and γ = 90.00°. The inequivalent atoms are Li at (0.000, 0.000, 0.000), Ga at (0.500, 0.500, 0.500), Ag at (0.000, 0.000, 0.500) and I at (0.000, 0.500, 0.000).

---

Compound: GaAgIN2
Source: Alexandria via LeMat-Bulk
Functional: GGA-PBE
Structure: relaxed

As for the formation energy without anion corrections: 1.586 eV per atom. Its density of states at the Fermi level is 0.36 states/eV/atom. The energy above the lowest structure with this stoichiometry comes out at 2.02 eV/f.u.

It has space group P4/mmm (No. 123), with a = 4.323 Å, b = 4.323 Å, c = 6.938 Å, α = 90.00°, β = 90.00° and γ = 90.00°. The inequivalent atoms are Ga at (0.000, 0.000, 0.000), Ag at (0.500, 0.500, 0.500), I at (0.500, 0.500, 0.000) and N at (0.000, 0.500, 0.500).

---

Compound: GaAgI2N
Source: Alexandria via LeMat-Bulk
Functional: GGA-PBE
Structure: relaxed

As for the formation energy without anion corrections: 0.680 eV per atom. Its density of states at the Fermi level is 0.43 states/eV/atom. The energy above the lowest structure with this stoichiometry comes out at 0.91 eV/f.u.

It has space group P4/mmm (No. 123), with a = 5.940 Å, b = 5.940 Å, c = 4.177 Å, α = 90.00°, β = 90.00° and γ = 90.00°. The inequivalent atoms are Ga at (0.000, 0.000, 0.000), Ag at (0.500, 0.500, 0.500), I at (0.000, 0.500, 0.500) and N at (0.500, 0.500, 0.000).

---

Compound: GaAgI2N
Source: Alexandria via LeMat-Bulk
Functional: GGA-PBE
Structure: relaxed

As for the formation energy without anion corrections: 0.497 eV per atom. Its density of states at the Fermi level is 0.79 states/eV/atom. The energy above the lowest structure with this stoichiometry comes out at 0.00 eV/f.u.

It has space group P4/mmm (No. 123), with a = 6.055 Å, b = 6.055 Å, c = 3.536 Å, α = 90.00°, β = 90.00° and γ = 90.00°. The inequivalent atoms are Ga at (0.000, 0.000, 0.000), Ag at (0.500, 0.500, 0.500), I at (0.000, 0.500, 0.000) and N at (0.000, 0.000, 0.500).